Run a
Density functional theory data (PBE) for crystalline ZrO3 at its relaxed geometry.

Results
**M_tot**: 0.0 μB per formula unit
**Space group**: No. 167

Lattice parameters (Å, degrees): 5.3993 5.3991 4.4123 52.31 52.31 60.01
Last column: nearest neighbours and their distance in Å.
Fractional positions:
1 O 0.6468 0.2494 0.2501  3 Zr 2.14-2.28, 4 O 2.27-2.28
2 O 0.2496 0.8535 0.2502  3 Zr 2.14-2.28, 4 O 2.28
3 O 0.8535 0.6467 0.2502  3 Zr 2.14-2.28, 4 O 2.28
4 O 0.1466 0.3538 0.7497  3 Zr 2.14-2.28, 4 O 2.28
5 O 0.7498 0.1467 0.7497  3 Zr 2.14-2.28, 4 O 2.27-2.28
6 O 0.3537 0.7499 0.7498  3 Zr 2.14-2.28, 4 O 2.28
7 Zr 0.2499 0.2498 0.2505  9 O 2.14-2.28
8 Zr 0.7501 0.7501 0.7497  9 O 2.14-2.28

=====

Run b
Density functional theory data (PBE) for crystalline ZrO3 at its relaxed geometry.

Results
**M_tot**: 2.0 μB per formula unit
**Space group**: No. 15

Lattice parameters (Å, degrees): 5.2496 5.2496 5.5484 97.83 97.83 126.17
Last column: nearest neighbours and their distance in Å.
Fractional positions:
1 O 0.5000 0.0000 0.0000  2 Zr 1.99
2 O 0.8325 0.7133 0.0093  2 Zr 2.10-2.18
3 O 0.2867 0.1675 0.4907  2 Zr 2.10-2.18
4 O 0.0000 0.5000 0.5000  2 Zr 1.99
5 O 0.7133 0.8325 0.5093  2 Zr 2.10-2.18
6 O 0.1675 0.2867 0.9907  2 Zr 2.10-2.18
7 Zr 0.8857 0.1143 0.2500  6 O 1.99-2.18
8 Zr 0.1143 0.8857 0.7500  6 O 1.99-2.18

=====

Most stable to least stable: run a, run b

=====

Run a
Density functional theory data (PBE) for crystalline BiW at its relaxed geometry.

Results
**M_tot**: 0.0 μB per formula unit
**Space group**: No. 194

Lattice parameters (Å, degrees): 4.5624 4.5624 5.1888 90.00 90.00 120.00
Last column: nearest neighbours and their distance in Å.
Fractional positions:
1 Bi 0.6667 0.3333 0.2500  6 W 2.94
2 Bi 0.3333 0.6667 0.7500  6 W 2.94
3 W 0.0000 0.0000 0.0000  2 W 2.59
4 W 0.0000 0.0000 0.5000  2 W 2.59

=====

Run b
Density functional theory data (PBE) for crystalline BiW at its relaxed geometry.

Results
**M_tot**: 2.4 μB per formula unit
**Space group**: No. 216

Lattice parameters (Å, degrees): 4.4961 4.4961 4.4961 60.00 60.00 60.00
Last column: nearest neighbours and their distance in Å.
Fractional positions:
1 Bi 0.0000 0.0000 0.0000  4 W 2.75
2 W 0.2500 0.2500 0.2500  4 Bi 2.75

=====

Most stable to least stable: run a, run b

=====

Run a
Density functional theory data (PBE) for crystalline ZrU at its relaxed geometry.

Results
**M_tot**: 0.0 μB per formula unit
**Space group**: No. 11

Lattice parameters (Å, degrees): 8.4977 6.2617 5.2366 90.00 90.00 101.68
Last column: nearest neighbours and their distance in Å.
Fractional positions:
1 U 0.2358 0.3300 0.0000  1 U 2.55
2 U 0.8958 0.5182 0.0000  1 U 2.53
3 U 0.1864 0.7186 0.0000  2 U 2.53-2.55
4 U 0.0358 0.3375 0.5000  2 U 2.53-2.55
5 U 0.3265 0.5374 0.5000  1 U 2.53
6 U 0.9864 0.7259 0.5000  1 U 2.55
7 Zr 0.9040 0.0310 0.0000  8 U 3.05-3.40, 4 Zr 3.21-3.30
8 Zr 0.5384 0.1344 0.0000  9 Zr 3.05-3.30, 1 U 3.06
9 Zr 0.5714 0.6591 0.0000  7 Zr 3.05-3.28, 5 U 3.06-3.37
10 Zr 0.3181 0.0246 0.5000  8 U 3.05-3.40, 4 Zr 3.21-3.30
11 Zr 0.6508 0.3960 0.5000  7 Zr 3.05-3.28, 5 U 3.06-3.36
12 Zr 0.6837 0.9206 0.5000  9 Zr 3.05-3.30, 1 U 3.06

=====

Run b
Density functional theory data (PBE) for crystalline ZrU at its relaxed geometry.

Results
**M_tot**: 0.0 μB per formula unit
**Space group**: No. 57

Lattice parameters (Å, degrees): 4.9346 7.2326 4.9358 90.00 90.00 90.00
Last column: nearest neighbours and their distance in Å.
Fractional positions:
1 U 0.9177 0.5458 0.0000  4 U 2.72
2 U 0.4177 0.7042 0.0000  4 U 2.72
3 U 0.4157 0.5458 0.5000  4 U 2.72
4 U 0.9157 0.7042 0.5000  4 U 2.72
5 Zr 0.4215 0.2575 0.0000  6 Zr 3.12-3.46, 5 U 3.22-3.24
6 Zr 0.9215 0.9925 0.0000  6 Zr 3.12-3.46, 5 U 3.22-3.24
7 Zr 0.9118 0.2575 0.5000  6 Zr 3.12-3.46, 5 U 3.22-3.24
8 Zr 0.4118 0.9925 0.5000  6 Zr 3.12-3.46, 5 U 3.22-3.24

=====

Run c
Density functional theory data (PBE) for crystalline ZrU at its relaxed geometry.

Results
**M_tot**: 0.0 μB per formula unit
**Space group**: No. 216

Lattice parameters (Å, degrees): 4.2038 4.2038 4.2038 60.00 60.00 60.00
Last column: nearest neighbours and their distance in Å.
Fractional positions:
1 U 0.0000 0.0000 0.0000  4 Zr 2.57
2 Zr 0.2500 0.2500 0.2500  4 U 2.57

=====

Most stable to least stable: run b, run a, run c

=====

Run a
Density functional theory data (PBE) for crystalline PrZnMo at its relaxed geometry.

Results
**M_tot**: 3.0 μB per formula unit
**Space group**: No. 216

Lattice parameters (Å, degrees): 4.7477 4.7477 4.7477 60.00 60.00 60.00
Last column: nearest neighbours and their distance in Å.
Fractional positions:
1 Mo 0.2500 0.2500 0.2500  4 Pr 2.91
2 Pr 0.0000 0.0000 0.0000  4 Mo 2.91, 4 Zn 2.91
3 Zn 0.7500 0.7500 0.7500  4 Pr 2.91

=====

Run b
Density functional theory data (PBE) for crystalline PrZnMo at its relaxed geometry.

Results
**M_tot**: 1.7 μB per formula unit
**Space group**: No. 216

Lattice parameters (Å, degrees): 4.6589 4.6589 4.6589 60.00 60.00 60.00
Last column: nearest neighbours and their distance in Å.
Fractional positions:
1 Mo 0.2500 0.2500 0.2500  4 Zn 2.85
2 Pr 0.7500 0.7500 0.7500  4 Zn 2.85
3 Zn 0.0000 0.0000 0.0000  4 Mo 2.85, 4 Pr 2.85

=====

Most stable to least stable: run b, run a

=====

Run a
Density functional theory data (PBE) for crystalline ZnCuWAu at its relaxed geometry.

Results
**M_tot**: 1.2 μB per formula unit
**Space group**: No. 216

Lattice parameters (Å, degrees): 4.4221 4.4221 4.4221 60.00 60.00 60.00
Last column: nearest neighbours and their distance in Å.
Fractional positions:
1 Au 0.2500 0.2500 0.2500  4 Zn 2.71, 4 W 2.71
2 Cu 0.7500 0.7500 0.7500  4 W 2.71, 4 Zn 2.71
3 W 0.5000 0.5000 0.5000  4 Cu 2.71, 4 Au 2.71
4 Zn 0.0000 0.0000 0.0000  4 Au 2.71, 4 Cu 2.71

=====

Run b
Density functional theory data (PBE) for crystalline ZnCuWAu at its relaxed geometry.

Results
**M_tot**: 1.2 μB per formula unit
**Space group**: No. 216

Lattice parameters (Å, degrees): 4.4294 4.4294 4.4294 60.00 60.00 60.00
Last column: nearest neighbours and their distance in Å.
Fractional positions:
1 Au 0.5000 0.5000 0.5000  4 W 2.71, 4 Cu 2.71
2 Cu 0.7500 0.7500 0.7500  4 Zn 2.71, 4 Au 2.71
3 W 0.2500 0.2500 0.2500  4 Au 2.71, 4 Zn 2.71
4 Zn 0.0000 0.0000 0.0000  4 Cu 2.71, 4 W 2.71

=====

Most stable to least stable: run a, run b

=====

Run a
Density functional theory data (PBE) for crystalline LuZnCuNi at its relaxed geometry.

Results
**M_tot**: 0.0 μB per formula unit
**Space group**: No. 216

Lattice parameters (Å, degrees): 4.4478 4.4478 4.4478 60.00 60.00 60.00
Last column: nearest neighbours and their distance in Å.
Fractional positions:
1 Cu 0.5000 0.5000 0.5000  4 Ni 2.72, 4 Lu 2.72
2 Lu 0.2500 0.2500 0.2500  4 Cu 2.72, 4 Zn 2.72
3 Ni 0.7500 0.7500 0.7500  4 Cu 2.72, 4 Zn 2.72
4 Zn 0.0000 0.0000 0.0000  4 Ni 2.72, 4 Lu 2.72

=====

Run b
Density functional theory data (PBE) for crystalline LuZnCuNi at its relaxed geometry.

Results
**M_tot**: 0.0 μB per formula unit
**Space group**: No. 216

Lattice parameters (Å, degrees): 4.4415 4.4415 4.4415 60.00 60.00 60.00
Last column: nearest neighbours and their distance in Å.
Fractional positions:
1 Cu 0.7500 0.7500 0.7500  4 Ni 2.72, 4 Zn 2.72
2 Lu 0.2500 0.2500 0.2500  4 Ni 2.72, 4 Zn 2.72
3 Ni 0.5000 0.5000 0.5000  4 Cu 2.72, 4 Lu 2.72
4 Zn 0.0000 0.0000 0.0000  4 Cu 2.72, 4 Lu 2.72

=====

Most stable to least stable: run b, run a